VASP calculation (PBE-GGA) on LaMg6Tl2 after structural relaxation.

Output
- ΔE_f (meV per atom) = -126.9
- total moment (μB per formula unit) = 0.00

abc: 4.6550 4.6550 10.5815
angles: 90.00 90.00 90.00
Space group P4/mmm (No. 123)
Inequivalent atoms, fractional coordinates:
La (0.0000, 0.0000, 0.0000) (multiplicity 1)
Mg (0.0000, 0.0000, 0.5000) (multiplicity 1)
Mg (0.0000, 0.5000, 0.2987) (multiplicity 4)
Mg (0.5000, 0.5000, 0.5000) (multiplicity 1)
Tl (0.5000, 0.5000, 0.1364) (multiplicity 2)